Record 1
! U2P2Se PBE relaxed; values from VASP
&SYSTEM
  ibrav = 0, nat = 10, ntyp = 3
/
ATOMIC_SPECIES
P 30.97 P.upf
U 238.03 U.upf
Se 78.96 Se.upf
ATOMIC_POSITIONS crystal
P 0.2404 0.9691 0.6048
P 0.4691 0.7404 0.1048
U 0.6153 0.8847 0.7500
Se 0.8797 0.6203 0.7500
Se 0.1203 0.3797 0.2500
P 0.5309 0.2596 0.8952
U 0.3847 0.1153 0.2500
U 0.1549 0.3451 0.7500
P 0.7596 0.0309 0.3952
U 0.8451 0.6549 0.2500
CELL_PARAMETERS angstrom
-3.1391 -4.1298 -5.0759
2.6803 -5.0619 4.4571
-3.6043 3.3045 2.5233
! Energy   -0.596 Ry per atom
! E_form (uncorrected)   -71 kJ/mol of atoms

---

Record 2
! UPSe4 PBE relaxed; values from VASP
&SYSTEM
  ibrav = 0, nat = 6, ntyp = 3
/
ATOMIC_SPECIES
Se 78.96 Se.upf
U 238.03 U.upf
P 30.97 P.upf
ATOMIC_POSITIONS crystal
Se 0.7565 0.7565 0.5130
U 0.7500 0.2500 0.5000
Se 0.2435 0.2435 0.4870
Se 0.2435 0.7565 0.0000
Se 0.7565 0.2435 0.0000
P 0.5000 0.5000 0.0000
CELL_PARAMETERS angstrom
-3.3668 3.3668 3.2077
3.3668 -3.3668 3.2077
3.3668 3.3668 -3.2077
! Energy   -0.397 Ry per atom
! E_form (uncorrected)   -29 kJ/mol of atoms

---

Record 3
! U2PSe PBE relaxed; values from VASP
&SYSTEM
  ibrav = 0, nat = 4, ntyp = 3
/
ATOMIC_SPECIES
P 30.97 P.upf
U 238.03 U.upf
Se 78.96 Se.upf
ATOMIC_POSITIONS crystal
P 0.6675 0.6675 0.9974
U 0.0759 0.0759 0.7724
Se 0.4988 0.4988 0.5035
U 0.2578 0.2578 0.2267
CELL_PARAMETERS angstrom
-0.8204 1.7352 -3.2887
-3.6299 0.5907 -0.9872
-1.3498 7.2495 1.9572
! Energy   -0.647 Ry per atom
! E_form (uncorrected)   -90 kJ/mol of atoms

---

Record 4
! U8P3Se5 PBE relaxed; values from VASP
&SYSTEM
  ibrav = 0, nat = 16, ntyp = 3
/
ATOMIC_SPECIES
P 30.97 P.upf
U 238.03 U.upf
Se 78.96 Se.upf
ATOMIC_POSITIONS crystal
P 0.0000 0.5000 0.5000
U 0.7559 0.7559 0.7323
P 0.0000 0.0000 0.5000
U 0.2501 0.7617 0.7382
U 0.2441 0.2441 0.2677
P 0.5000 0.0000 0.5000
Se 0.5000 0.5000 0.5000
Se 0.0000 0.0000 0.0000
Se 0.5000 0.5000 0.0000
U 0.7499 0.7499 0.2618
U 0.7499 0.2383 0.2618
Se 0.0000 0.5000 0.0000
U 0.2501 0.2501 0.7382
U 0.2383 0.7499 0.2618
Se 0.5000 0.0000 0.0000
U 0.7617 0.2501 0.7382
CELL_PARAMETERS angstrom
7.0166 0.0000 4.0191
2.3572 6.6088 4.0191
0.1035 0.0729 7.9537
! Energy   -0.644 Ry per atom
! E_form (uncorrected)   -97 kJ/mol of atoms

---

Record 5
! U5P4Se PBE relaxed; values from VASP
&SYSTEM
  ibrav = 0, nat = 10, ntyp = 3
/
ATOMIC_SPECIES
P 30.97 P.upf
U 238.03 U.upf
Se 78.96 Se.upf
ATOMIC_POSITIONS crystal
P 0.4006 0.4006 0.8012
P 0.5994 0.5994 0.1988
U 0.0000 0.5000 0.0000
U 0.1990 0.6990 0.3981
U 0.6056 0.1056 0.2112
Se 0.0000 0.0000 0.0000
U 0.8010 0.3010 0.6019
U 0.3944 0.8944 0.7888
P 0.7974 0.7974 0.5947
P 0.2026 0.2026 0.4053
CELL_PARAMETERS angstrom
-1.3717 -1.4992 3.3812
1.1690 -5.1662 -1.8164
9.1852 3.9899 3.1942
! Energy   -0.671 Ry per atom
! E_form (uncorrected)   -94 kJ/mol of atoms

---

Record 6
! UP6Se12 PBE relaxed; values from VASP
&SYSTEM
  ibrav = 0, nat = 19, ntyp = 3
/
ATOMIC_SPECIES
Se 78.96 Se.upf
P 30.97 P.upf
U 238.03 U.upf
ATOMIC_POSITIONS crystal
Se 0.1668 0.6010 0.5889
Se 0.3129 0.7946 0.4085
Se 0.6303 0.1119 0.0521
Se 0.7516 0.1274 0.3163
Se 0.8332 0.3990 0.4111
Se 0.2484 0.8726 0.6837
Se 0.6871 0.2054 0.5915
P 0.1069 0.1626 0.5891
U 0.0000 0.0000 0.0000
Se 0.2460 0.3710 0.8310
P 0.5368 0.7988 0.7239
Se 0.9940 0.3442 0.7623
P 0.3603 0.4899 0.1765
Se 0.0060 0.6558 0.2377
Se 0.3697 0.8881 0.9479
P 0.8931 0.8374 0.4109
P 0.6397 0.5101 0.8235
P 0.4632 0.2012 0.2761
Se 0.7540 0.6290 0.1690
CELL_PARAMETERS angstrom
8.9267 6.6578 4.0120
3.3048 12.0136 3.0259
5.5099 6.5427 9.4551
! Energy   -0.338 Ry per atom
! E_form (uncorrected)   -9 kJ/mol of atoms

---

Record 7
! U4PSe6 PBE relaxed; values from VASP
&SYSTEM
  ibrav = 0, nat = 22, ntyp = 3
/
ATOMIC_SPECIES
Se 78.96 Se.upf
U 238.03 U.upf
P 30.97 P.upf
ATOMIC_POSITIONS crystal
Se 0.5703 0.0000 0.5000
U 0.1867 0.5000 0.2415
U 0.3133 0.0000 0.7415
Se 0.0000 0.2122 0.7878
U 0.6867 0.7415 0.0000
Se 0.0000 0.2122 0.2122
P 0.0000 0.5000 0.5000
Se 0.5000 0.2878 0.7122
Se 0.0703 0.0000 0.5000
Se 0.0000 0.7878 0.2122
U 0.8133 0.7585 0.5000
Se 0.5000 0.7122 0.7122
U 0.6867 0.2585 0.0000
Se 0.4297 0.5000 0.0000
U 0.8133 0.2415 0.5000
Se 0.0000 0.7878 0.7878
U 0.1867 0.5000 0.7585
Se 0.5000 0.7122 0.2878
U 0.3133 0.0000 0.2585
P 0.5000 0.0000 0.0000
Se 0.5000 0.2878 0.2878
Se 0.9297 0.5000 0.0000
CELL_PARAMETERS angstrom
-0.0188 -6.7206 -1.3168
7.0866 -1.1994 6.0205
-6.1387 -1.3461 6.9576
! Energy   -0.551 Ry per atom
! E_form (uncorrected)   -96 kJ/mol of atoms

---

Record 8
! U3PSe2 PBE relaxed; values from VASP
&SYSTEM
  ibrav = 0, nat = 6, ntyp = 3
/
ATOMIC_SPECIES
Se 78.96 Se.upf
U 238.03 U.upf
P 30.97 P.upf
ATOMIC_POSITIONS crystal
Se 0.3289 0.8289 0.6579
Se 0.6711 0.1711 0.3421
U 0.3437 0.3437 0.6875
U 0.6563 0.6563 0.3125
P 0.0000 0.5000 0.0000
U 0.0000 0.0000 0.0000
CELL_PARAMETERS angstrom
3.9179 0.0000 -1.1100
-0.5956 5.2533 -2.1022
-0.1663 -0.3458 6.8822
! Energy   -0.640 Ry per atom
! E_form (uncorrected)   -97 kJ/mol of atoms

---

Record 9
! U2PSe3 PBE relaxed; values from VASP
&SYSTEM
  ibrav = 0, nat = 6, ntyp = 3
/
ATOMIC_SPECIES
Se 78.96 Se.upf
P 30.97 P.upf
U 238.03 U.upf
ATOMIC_POSITIONS crystal
Se 0.0000 0.0000 0.0000
P 0.5000 0.5000 0.0000
U 0.5000 0.0000 0.7360
Se 0.0000 0.5000 0.6356
Se 0.5000 0.0000 0.3644
U 0.0000 0.5000 0.2640
CELL_PARAMETERS angstrom
-1.6389 -1.4590 3.3329
1.5786 -3.5786 -0.7903
6.7631 2.0505 4.2234
! Energy   -0.543 Ry per atom
! E_form (uncorrected)   -95 kJ/mol of atoms

---

Record 10
! UPSe6 PBE relaxed; values from VASP
&SYSTEM
  ibrav = 0, nat = 8, ntyp = 3
/
ATOMIC_SPECIES
P 30.97 P.upf
Se 78.96 Se.upf
U 238.03 U.upf
ATOMIC_POSITIONS crystal
P 0.5000 0.5000 0.5000
Se 0.1645 0.4533 0.2211
Se 0.8277 0.8277 0.3448
Se 0.4533 0.1645 0.2211
Se 0.1723 0.1723 0.6552
Se 0.5467 0.8355 0.7789
U 0.0000 0.0000 0.0000
Se 0.8355 0.5467 0.7789
CELL_PARAMETERS angstrom
6.8500 -0.9425 -0.3672
-3.4233 6.0077 -0.3672
-0.9986 -1.4761 6.5217
! Energy   -0.361 Ry per atom
! E_form (uncorrected)   -20 kJ/mol of atoms

---

Record 11
! U2PSe2 PBE relaxed; values from VASP
&SYSTEM
  ibrav = 0, nat = 5, ntyp = 3
/
ATOMIC_SPECIES
U 238.03 U.upf
Se 78.96 Se.upf
P 30.97 P.upf
ATOMIC_POSITIONS crystal
U 0.5000 0.5000 0.8250
Se 0.5000 0.5000 0.3655
P 0.5000 0.5000 0.0000
U 0.5000 0.5000 0.1750
Se 0.5000 0.5000 0.6345
CELL_PARAMETERS angstrom
-1.7555 -0.8949 -1.8481
1.5741 -2.1478 -0.4552
-7.5657 -7.8758 11.0003
! Energy   -0.494 Ry per atom
! E_form (uncorrected)   26 kJ/mol of atoms

---

Record 12
! U4PSe3 PBE relaxed; values from VASP
&SYSTEM
  ibrav = 0, nat = 8, ntyp = 3
/
ATOMIC_SPECIES
Se 78.96 Se.upf
U 238.03 U.upf
P 30.97 P.upf
ATOMIC_POSITIONS crystal
Se 0.0000 0.0000 0.5000
U 0.5000 0.2437 0.7563
P 0.5000 0.0000 0.0000
U 0.0000 0.7618 0.7618
U 0.5000 0.7563 0.2437
U 0.0000 0.2382 0.2382
Se 0.5000 0.5000 0.5000
Se 0.0000 0.5000 0.0000
CELL_PARAMETERS angstrom
3.9202 0.0000 0.0000
0.0000 7.0386 0.3401
0.0000 -2.5051 6.5865
! Energy   -0.634 Ry per atom
! E_form (uncorrected)   -97 kJ/mol of atoms

---

Record 13
! U5PSe4 PBE relaxed; values from VASP
&SYSTEM
  ibrav = 0, nat = 10, ntyp = 3
/
ATOMIC_SPECIES
U 238.03 U.upf
P 30.97 P.upf
Se 78.96 Se.upf
ATOMIC_POSITIONS crystal
U 0.0961 0.0961 0.1922
P 0.0000 0.0000 0.0000
Se 0.3991 0.3991 0.7983
Se 0.8025 0.8025 0.6050
U 0.2983 0.2983 0.5966
U 0.9039 0.9039 0.8078
Se 0.6009 0.6009 0.2017
Se 0.1975 0.1975 0.3950
U 0.7017 0.7017 0.4034
U 0.5000 0.5000 0.0000
CELL_PARAMETERS angstrom
3.9935 0.0000 -0.5628
-0.0793 3.9927 -0.5628
0.0114 0.0117 14.5309
! Energy   -0.630 Ry per atom
! E_form (uncorrected)   -95 kJ/mol of atoms

---

Record 14
! U4P2Se5 PBE relaxed; values from VASP
&SYSTEM
  ibrav = 0, nat = 11, ntyp = 3
/
ATOMIC_SPECIES
U 238.03 U.upf
Se 78.96 Se.upf
P 30.97 P.upf
ATOMIC_POSITIONS crystal
U 0.0000 0.2713 0.9999
U 0.2932 0.2933 0.5864
U 0.7068 0.7067 0.4136
Se 0.1658 0.9317 0.3315
U 0.0000 0.7287 0.0001
Se 0.5000 0.0000 0.0000
Se 0.1657 0.3997 0.3315
P 0.5585 0.5584 0.1170
P 0.4415 0.4416 0.8830
Se 0.8343 0.6003 0.6685
Se 0.8342 0.0683 0.6685
CELL_PARAMETERS angstrom
-3.1086 0.2346 -2.5792
-3.6088 -5.1951 3.8771
-0.3979 8.9054 4.4635
! Energy   -0.566 Ry per atom
! E_form (uncorrected)   -99 kJ/mol of atoms

---

Record 15
! U4PSe5 PBE relaxed; values from VASP
&SYSTEM
  ibrav = 0, nat = 10, ntyp = 3
/
ATOMIC_SPECIES
U 238.03 U.upf
P 30.97 P.upf
Se 78.96 Se.upf
ATOMIC_POSITIONS crystal
U 0.3341 0.9055 0.6681
P 0.5000 0.0000 0.0000
U 0.0012 0.2445 0.0024
Se 0.5000 0.5000 0.0000
Se 0.1663 0.3384 0.3325
Se 0.8337 0.6616 0.6675
Se 0.8334 0.1622 0.6668
U 0.6659 0.0945 0.3319
U 0.9988 0.7555 0.9976
Se 0.1666 0.8378 0.3332
CELL_PARAMETERS angstrom
4.0127 0.0000 0.0000
0.0000 8.0624 -0.4376
-2.0064 -1.6006 8.6015
! Energy   -0.578 Ry per atom
! E_form (uncorrected)   -103 kJ/mol of atoms

---

Record 16
! UPSe2 PBE relaxed; values from VASP
&SYSTEM
  ibrav = 0, nat = 4, ntyp = 3
/
ATOMIC_SPECIES
U 238.03 U.upf
Se 78.96 Se.upf
P 30.97 P.upf
ATOMIC_POSITIONS crystal
U 0.0000 0.0000 0.0000
Se 0.1078 0.1078 0.6766
P 0.5000 0.5000 0.5000
Se 0.8922 0.8922 0.3234
CELL_PARAMETERS angstrom
-2.3275 2.1868 -1.4357
-1.6013 -0.8649 -2.9914
-7.7045 -3.3910 3.0553
! Energy   -0.418 Ry per atom
! E_form (uncorrected)   23 kJ/mol of atoms

---

Record 17
! U2PSe PBE relaxed; values from VASP
&SYSTEM
  ibrav = 0, nat = 4, ntyp = 3
/
ATOMIC_SPECIES
U 238.03 U.upf
Se 78.96 Se.upf
P 30.97 P.upf
ATOMIC_POSITIONS crystal
U 0.9966 0.9966 0.7329
Se 0.5000 0.5000 0.0000
U 0.0034 0.0034 0.2671
P 0.5000 0.5000 0.5000
CELL_PARAMETERS angstrom
-2.6433 -1.4773 1.6865
-1.3761 -0.9952 -3.0215
3.6046 -5.9436 0.3616
! Energy   -0.637 Ry per atom
! E_form (uncorrected)   -77 kJ/mol of atoms

---

Record 18
! U3P2Se2 PBE relaxed; values from VASP
&SYSTEM
  ibrav = 0, nat = 14, ntyp = 3
/
ATOMIC_SPECIES
Se 78.96 Se.upf
U 238.03 U.upf
P 30.97 P.upf
ATOMIC_POSITIONS crystal
Se 0.3641 0.8326 0.8822
U 0.2360 0.4906 0.7116
U 0.7640 0.5094 0.2884
Se 0.8641 0.6674 0.8822
Se 0.1359 0.3326 0.1178
P 0.4202 0.6635 0.3573
U 0.2640 0.9906 0.2884
U 0.5000 0.5000 0.0000
P 0.5798 0.3365 0.6427
U 0.7360 0.0094 0.7116
U 0.0000 0.0000 0.0000
Se 0.6359 0.1674 0.1178
P 0.0798 0.1635 0.6427
P 0.9202 0.8365 0.3573
CELL_PARAMETERS angstrom
7.8827 0.0000 -0.1856
0.0000 6.9734 0.0000
3.3041 0.0000 6.7249
! Energy   -0.596 Ry per atom
! E_form (uncorrected)   -71 kJ/mol of atoms

---

Record 19
! U2PSe PBE relaxed; values from VASP
&SYSTEM
  ibrav = 0, nat = 8, ntyp = 3
/
ATOMIC_SPECIES
U 238.03 U.upf
Se 78.96 Se.upf
P 30.97 P.upf
ATOMIC_POSITIONS crystal
U 0.8691 0.1191 0.2624
U 0.3809 0.6309 0.2376
U 0.1309 0.8809 0.7376
Se 0.1249 0.3751 0.7500
U 0.6191 0.3691 0.7624
P 0.6252 0.8748 0.7500
Se 0.8751 0.6249 0.2500
P 0.3748 0.1252 0.2500
CELL_PARAMETERS angstrom
5.6581 0.0944 0.0845
0.1386 5.6572 0.0845
2.6019 2.5816 5.7295
! Energy   -0.651 Ry per atom
! E_form (uncorrected)   -96 kJ/mol of atoms

---

Record 20
! UPSe PBE relaxed; values from VASP
&SYSTEM
  ibrav = 0, nat = 6, ntyp = 3
/
ATOMIC_SPECIES
U 238.03 U.upf
P 30.97 P.upf
Se 78.96 Se.upf
ATOMIC_POSITIONS crystal
U 0.0000 0.5000 0.7448
P 0.5000 0.5000 0.0000
U 0.5000 0.0000 0.2552
Se 0.5000 0.0000 0.6343
P 0.0000 0.0000 0.0000
Se 0.0000 0.5000 0.3657
CELL_PARAMETERS angstrom
-3.2850 -0.0175 2.0550
1.8394 -1.7529 2.9255
1.9657 7.4119 3.2053
! Energy   -0.566 Ry per atom
! E_form (uncorrected)   -94 kJ/mol of atoms